[1]
Below is an optimized crystal structure of LuSi3, with properties calculated at the PBE-GGA level.

abc: 4.085 4.085 4.085
angles: 90.00 90.00 90.00
Element x y z (fractional)
Lu  0.000  0.000  0.000
Si  0.000  0.500  0.500
Si  0.500  0.000  0.500
Si  0.500  0.500  0.000

The energy comes out at -21.5 eV/cell.

[2]
Below is an optimized crystal structure of CrAsBr4, with properties calculated at the PBE-GGA level.

abc: 6.230 6.230 6.230
angles: 60.00 60.00 60.00
Element x y z (fractional)
Cr  0.000  0.000  0.000
As  0.750  0.750  0.750
Br  0.375  0.375  0.375
Br  0.375  0.375  0.876
Br  0.375  0.876  0.375
Br  0.876  0.375  0.375

The energy comes out at -15.0 eV/cell.

energy of number 2 (CrAsBr4)?
-15.0 eV/cell

The lowest energy belongs to which entry?
LuSi3